15
Lattice="5.780 0.000 0.000 -2.890 5.006 0.000 0.000 0.000 7.127" Properties=species:S:1:pos:R:3 comment="PBE+U Ba3ErCr2O9, relaxed" n_ef_per_ev_cell=4.560 pbc="T T T"
Ba 0.000 0.000 0.000
Ba 0.000 3.337 4.838
Ba 2.890 1.669 2.289
Er 0.000 0.000 3.564
Cr 0.000 3.337 1.165
Cr 2.890 1.669 5.962
O -1.445 2.503 0.000
O 0.000 1.781 2.246
O -1.348 4.116 2.246
O 1.542 0.890 4.882
O 2.890 0.000 0.000
O 1.445 2.503 0.000
O 1.348 4.116 2.246
O 4.238 0.890 4.882
O 2.890 3.225 4.882

12
Lattice="5.685 0.000 0.000 -2.843 4.924 0.000 0.000 0.000 7.602" Properties=species:S:1:pos:R:3 comment="PBE+U BaErCr2O8, relaxed" n_ef_per_ev_cell=6.134 pbc="T T T"
Ba 0.000 0.000 0.000
Er 0.000 0.000 3.801
Cr 0.000 3.282 5.813
Cr 2.843 1.641 1.789
O -0.007 1.668 5.270
O -1.394 4.096 5.270
O 0.000 3.282 7.469
O 1.441 0.841 2.332
O 1.402 4.083 5.270
O 2.843 1.641 0.133
O 4.237 0.828 2.332
O 2.850 3.255 2.332

10
Lattice="0.000 4.162 4.162 4.162 0.000 4.162 4.162 4.162 0.000" Properties=species:S:1:pos:R:3 comment="PBE+U BaSrEuCrO6, relaxed" n_ef_per_ev_cell=5.347 pbc="T T T"
Ba 0.000 0.000 0.000
Sr 4.162 4.162 4.162
Eu 6.244 6.244 6.244
Cr 2.081 2.081 2.081
O 2.081 2.081 0.178
O 2.081 0.178 2.081
O 3.984 2.081 2.081
O 0.178 2.081 2.081
O 2.081 3.984 2.081
O 2.081 2.081 3.984

10
Lattice="0.000 4.126 4.126 4.126 0.000 4.126 4.126 4.126 0.000" Properties=species:S:1:pos:R:3 comment="PBE+U BaEuYCrO6, relaxed" n_ef_per_ev_cell=9.493 pbc="T T T"
Ba 0.000 0.000 0.000
Eu 4.126 4.126 4.126
Y 6.190 6.190 6.190
Cr 2.063 2.063 2.063
O 2.063 2.063 0.146
O 2.063 0.146 2.063
O 3.980 2.063 2.063
O 0.146 2.063 2.063
O 2.063 3.980 2.063
O 2.063 2.063 3.980

11
Lattice="4.075 0.000 0.000 0.620 6.535 0.000 0.701 1.536 6.422" Properties=species:S:1:pos:R:3 comment="PBE+U BaCr2F8, relaxed" n_ef_per_ev_cell=0.000 pbc="T T T"
Ba 0.000 0.000 0.000
Cr 1.664 3.064 2.442
Cr 3.732 5.008 3.980
F 1.696 4.720 3.755
F 1.624 1.984 3.982
F 1.624 4.314 1.034
F 1.648 1.593 1.274
F 3.748 6.478 5.147
F 3.773 3.757 5.388
F 3.773 6.087 2.440
F 3.700 3.351 2.667

6
Lattice="3.211 -3.083 0.000 3.211 3.083 0.000 -1.294 0.000 5.576" Properties=species:S:1:pos:R:3 comment="PBE+U BaCrF4, relaxed" n_ef_per_ev_cell=0.000 pbc="T T T"
Ba 0.000 0.000 0.000
Cr 2.563 0.000 2.788
F 1.835 1.363 1.510
F 3.292 1.363 4.067
F 1.835 -1.363 1.510
F 3.292 -1.363 4.067

80
Lattice="-7.126 7.126 7.126 7.126 -7.126 7.126 7.126 7.126 -7.126" Properties=species:S:1:pos:R:3 comment="PBE+U Ba3Cr5F12, relaxed" n_ef_per_ev_cell=57.141 pbc="T T T"
Ba 3.563 1.781 0.000
Ba 7.126 3.563 -1.781
Ba 1.781 0.000 3.563
Ba 8.907 0.000 3.563
Ba 0.000 3.563 1.781
Ba 3.563 -1.781 7.126
Ba 3.563 8.907 0.000
Ba 7.126 3.563 5.344
Ba -1.781 7.126 3.563
Ba 5.344 7.126 3.563
Ba 0.000 3.563 8.907
Ba 3.563 5.344 7.126
Cr 0.000 0.000 0.000
Cr 3.563 3.563 -3.563
Cr 3.563 -3.563 3.563
Cr 7.126 0.000 0.000
Cr 10.689 1.781 0.000
Cr 7.126 -3.563 5.344
Cr 5.344 7.126 -3.563
Cr 5.344 0.000 3.563
Cr 3.563 5.344 0.000
Cr 7.126 3.563 1.781
Cr -3.563 3.563 3.563
Cr 0.000 7.126 0.000
Cr 0.000 0.000 7.126
Cr 3.563 3.563 3.563
Cr 0.000 3.563 5.344
Cr 3.563 1.781 7.126
Cr 1.781 7.126 3.563
Cr 1.781 0.000 10.689
Cr 0.000 10.689 1.781
Cr -3.563 5.344 7.126
F 2.089 -0.320 0.845
F 8.600 4.408 -3.883
F 9.215 0.320 0.845
F 8.600 -2.718 3.883
F 6.805 -0.845 2.089
F 11.009 -1.474 2.718
F 0.845 2.089 -0.320
F 9.844 3.242 -1.474
F 4.408 3.883 -1.474
F 6.281 2.089 0.320
F -0.320 0.845 2.089
F 3.883 -1.474 4.408
F 6.805 6.281 -2.089
F 3.883 1.474 2.718
F 4.408 -3.883 8.600
F 6.281 -2.089 6.805
F 2.718 3.883 1.474
F 7.971 5.037 0.320
F 3.883 8.600 -2.718
F 6.805 0.845 5.037
F 2.089 6.805 -0.845
F 8.600 2.718 3.242
F 1.474 2.718 3.883
F 2.089 0.320 6.281
F 5.037 6.805 0.845
F 5.652 4.408 3.242
F -1.474 4.408 3.883
F 5.037 0.320 7.971
F 0.320 6.281 2.089
F 3.242 -1.474 9.844
F -0.845 2.089 6.805
F 4.408 3.242 5.652
F 0.845 9.215 0.320
F 2.718 11.009 -1.474
F 3.242 5.652 4.408
F 0.320 0.845 9.215
F 3.242 8.600 2.718
F 7.446 6.281 5.037
F 0.845 5.037 6.805
F 2.718 3.242 8.600
F -2.718 3.883 8.600
F 6.281 5.037 7.446
F -3.883 8.600 4.408
F 0.320 7.971 5.037
F -1.474 9.844 3.242
F -2.089 6.805 6.281
F -1.474 2.718 11.009
F 5.037 7.446 6.281

18
Lattice="5.654 0.000 0.000 0.000 7.278 0.000 -5.182 0.000 8.167" Properties=species:S:1:pos:R:3 comment="PBE+U Ba2CrF6, relaxed" n_ef_per_ev_cell=0.000 relative_energy_mev_per_atom=22 pbc="T T T"
Ba -0.130 0.792 2.167
Ba -2.721 2.846 6.251
Ba 3.193 4.431 1.916
Ba 0.601 6.485 6.000
Cr 2.827 0.000 0.000
Cr 0.236 3.639 4.084
F -4.099 0.982 7.810
F -1.508 2.657 3.726
F -3.181 5.082 7.626
F -0.590 5.835 3.542
F -1.862 0.284 6.239
F 0.730 3.355 2.156
F -0.258 3.923 6.011
F 2.333 6.994 1.928
F 1.061 1.443 4.625
F 3.653 2.196 0.542
F 1.979 4.621 4.441
F 4.570 6.296 0.357

Ba2CrF8: relaxed, PBE+U.

The structure in extended XYZ format:
```
11
Lattice="5.332 -4.003 0.000 5.332 4.003 0.000 -1.721 0.000 4.680" Properties=species:S:1:pos:R:3 pbc="T T T"
Ba 1.158 0.000 1.675
Ba 7.785 0.000 3.005
Cr 5.332 0.000 0.000
F -0.413 0.000 3.765
F 2.821 1.320 3.570
F 3.824 0.000 1.016
F 6.122 1.320 1.110
F 2.821 -1.320 3.570
F 5.118 0.000 3.664
F 6.122 -1.320 1.110
F 9.356 0.000 0.915
```

4
Lattice="0.000 3.394 3.394 3.394 0.000 3.394 3.394 3.394 0.000" Properties=species:S:1:pos:R:3 comment="PBE+U BaCrF2, relaxed" n_ef_per_ev_cell=0.227 relative_energy_mev_per_atom=341 pbc="T T T"
Ba 0.000 0.000 0.000
Cr 3.394 3.394 3.394
F 1.697 1.697 1.697
F 5.091 5.091 5.091

13
Lattice="7.491 0.000 0.000 -3.745 6.487 0.000 0.000 0.000 4.139" Properties=species:S:1:pos:R:3 comment="PBE+U BaCr3F9, relaxed" n_ef_per_ev_cell=1.955 pbc="T T T"
Ba 0.000 0.000 0.000
Cr -1.873 3.244 2.070
Cr 3.745 0.000 2.070
Cr 1.873 3.244 2.070
F -1.873 3.244 0.000
F 0.000 2.485 2.070
F -1.593 5.245 2.070
F 2.152 1.242 2.070
F 3.745 0.000 0.000
F 1.873 3.244 0.000
F 1.593 5.245 2.070
F 5.339 1.242 2.070
F 3.745 4.002 2.070

8
Lattice="-2.808 2.808 6.597 2.808 -2.808 6.597 2.808 2.808 -6.597" Properties=species:S:1:pos:R:3 comment="PBE+U BaCrF2, relaxed" n_ef_per_ev_cell=1.678 relative_energy_mev_per_atom=277 pbc="T T T"
Ba 0.000 0.000 0.000
Ba 0.000 2.808 3.299
Cr 2.808 0.000 3.299
Cr 0.000 0.000 6.597
F 4.212 1.342 -1.649
F 1.342 1.404 1.649
F -1.404 1.466 4.948
F 1.466 1.404 8.247

no.,DFT total energy (eV/atom),M_tot (μB/f.u.)
1,-7.026,3.0
2,-7.199,1.0
3,-7.368,7.0
4,-8.085,8.0
5,-5.837,6.0
6,-6.036,4.0
7,-5.835,24.0
8,-5.911,4.0
9,-5.613,1.9
10,-5.264,6.0
11,-5.971,11.0
12,-5.329,5.6